Density functional theory data (PBE) for an optimized crystal structure of SrSb2.

Properties
E_form (uncorrected): -58.3 kJ/mol of atoms
Density: 5.215 Mg/m³
DOS at the Fermi energy: 0.604 states/eV/atom

Unit cell a=4.5144 b=4.5144 c=5.1736 alpha=90.00 beta=90.00 gamma=90.00
Space group P4/mmm (No. 123)
Asymmetric unit:
Sr: 0.0000 0.0000 0.0000 (multiplicity 1)
Sb: 0.0000 0.5000 0.5000 (multiplicity 2)



Density functional theory data (PBE) for an optimized crystal structure of Ca2CrCdN.

Properties
E_form (uncorrected): -42.6 kJ/mol of atoms
Density: 4.196 Mg/m³
DOS at the Fermi energy: 0.648 states/eV/atom

Unit cell a=5.1832 b=5.1832 c=3.8086 alpha=90.00 beta=90.00 gamma=90.00
Space group P4/mmm (No. 123)
Asymmetric unit:
Ca: 0.0000 0.5000 0.0000 (multiplicity 2)
Cr: 0.0000 0.0000 0.5000 (multiplicity 1)
Cd: 0.5000 0.5000 0.5000 (multiplicity 1)
N: 0.0000 0.0000 0.0000 (multiplicity 1)



Results for V: 35.1, 20.5 (in A^3/atom, following the order of the records).